[1]
BiBO2F after structural relaxation. Source: the Alexandria database, functional PBE.

Cell lengths 3.602, 3.602, 4.003 Å; angles 90.00, 90.00, 90.00 degrees
Fractional positions:
O 0.000 0.500 0.000
O 0.500 0.000 0.000
B 0.000 0.000 0.000
Bi 0.500 0.500 0.500
F 0.000 0.000 0.500

Properties
E_tot, eV per atom: -5.174
SG: P4/mmm

[2]
BiBO2F after structural relaxation. Source: the Alexandria database, functional PBE.

Cell lengths 4.318, 4.318, 4.461 Å; angles 90.00, 90.00, 90.00 degrees
Fractional positions:
F 0.000 0.000 0.500
O 0.000 0.500 0.000
O 0.500 0.000 0.000
B 0.500 0.500 0.500
Bi 0.000 0.000 0.000

Properties
E_tot, eV per atom: -4.437
SG: P4/mmm

[3]
BiBOF2 after structural relaxation. Source: the Alexandria database, functional PBE.

Cell lengths 4.832, 4.832, 2.755 Å; angles 90.00, 90.00, 90.00 degrees
Fractional positions:
Bi 0.500 0.500 0.500
O 0.000 0.000 0.500
B 0.000 0.000 0.000
F 0.000 0.500 0.000
F 0.500 0.000 0.000

Properties
E_tot, eV per atom: -4.960
SG: P4/mmm

[4]
BiBOF4 after structural relaxation. Source: the Alexandria database, functional PBE.

Cell lengths 4.298, 4.298, 9.729 Å; angles 90.00, 90.00, 91.98 degrees
Fractional positions:
Bi 0.506 0.994 0.119
Bi 0.006 0.494 0.881
F 0.947 0.167 0.310
F 0.833 0.053 0.690
F 0.447 0.667 0.690
F 0.373 0.127 0.799
F 0.873 0.627 0.201
F 0.333 0.553 0.310
F 0.895 0.605 0.446
F 0.395 0.105 0.554
O 0.942 0.058 0.000
O 0.442 0.558 0.000
B 0.512 0.988 0.670
B 0.012 0.488 0.330

Properties
E_tot, eV per atom: -5.663
SG: Aem2

[5]
BiB2PF after structural relaxation. Source: the Alexandria database, functional PBE.

Cell lengths 4.838, 5.453, 4.838 Å; angles 90.00, 90.00, 90.00 degrees
Fractional positions:
B 0.500 0.000 0.000
B 0.000 0.000 0.500
P 0.000 0.500 0.000
F 0.500 0.500 0.500
Bi 0.000 0.000 0.000

Properties
E_tot, eV per atom: -2.967
SG: P4/mmm

[6]
Bi2BPtF after structural relaxation. Source: the Alexandria database, functional PBE.

Cell lengths 4.955, 3.985, 4.955 Å; angles 90.00, 90.00, 90.00 degrees
Fractional positions:
B 0.000 0.500 0.000
Bi 0.500 0.000 0.000
Bi 0.000 0.000 0.500
F 0.000 0.000 0.000
Pt 0.500 0.500 0.500

Properties
E_tot, eV per atom: -3.958
SG: P4/mmm

[7]
BiBPt2F after structural relaxation. Source: the Alexandria database, functional PBE.

Cell lengths 4.053, 5.050, 4.053 Å; angles 90.00, 90.00, 90.00 degrees
Fractional positions:
B 0.000 0.000 0.000
Pt 0.500 0.000 0.000
Pt 0.000 0.000 0.500
Bi 0.500 0.500 0.500
F 0.000 0.500 0.000

Properties
E_tot, eV per atom: -5.303
SG: P4/mmm

[8]
RbBiBF2 after structural relaxation. Source: the Alexandria database, functional PBE.

Cell lengths 4.687, 5.600, 4.687 Å; angles 90.00, 90.00, 90.00 degrees
Fractional positions:
Bi 0.500 0.500 0.500
B 0.000 0.000 0.000
F 0.000 0.000 0.500
F 0.500 0.000 0.000
Rb 0.000 0.500 0.000

Properties
E_tot, eV per atom: -2.748
SG: P4/mmm

[9]
ReBiBF2 after structural relaxation. Source: the Alexandria database, functional PBE.

Cell lengths 3.932, 4.752, 3.932 Å; angles 90.00, 90.00, 90.00 degrees
Fractional positions:
Re 0.000 0.500 0.000
B 0.000 0.000 0.000
F 0.000 0.000 0.500
F 0.500 0.000 0.000
Bi 0.500 0.500 0.500

Properties
E_tot, eV per atom: -5.123
SG: P4/mmm

[10]
BiBRuF2 after structural relaxation. Source: the Alexandria database, functional PBE.

Cell lengths 4.248, 4.138, 4.248 Å; angles 90.00, 90.00, 90.00 degrees
Fractional positions:
Bi 0.500 0.500 0.500
Ru 0.000 0.000 0.000
F 0.000 0.000 0.500
F 0.500 0.000 0.000
B 0.000 0.500 0.000

Properties
E_tot, eV per atom: -4.895
SG: P4/mmm

[11]
BiBTe2F after structural relaxation. Source: the Alexandria database, functional PBE.

Cell lengths 5.217, 4.299, 5.217 Å; angles 90.00, 90.00, 90.00 degrees
Fractional positions:
Te 0.000 0.000 0.500
Te 0.500 0.000 0.000
F 0.000 0.000 0.000
Bi 0.500 0.500 0.500
B 0.000 0.500 0.000

Properties
E_tot, eV per atom: -3.082
SG: P4/mmm

[12]
BiB2TeF after structural relaxation. Source: the Alexandria database, functional PBE.

Cell lengths 4.570, 4.245, 4.570 Å; angles 90.00, 90.00, 90.00 degrees
Fractional positions:
B 0.000 0.000 0.500
B 0.500 0.000 0.000
Bi 0.500 0.500 0.500
Te 0.000 0.000 0.000
F 0.000 0.500 0.000

Properties
E_tot, eV per atom: -3.592
SG: P4/mmm

[13]
Zr2BiBF after structural relaxation. Source: the Alexandria database, functional PBE.

Cell lengths 4.411, 4.808, 4.411 Å; angles 90.00, 90.00, 90.00 degrees
Fractional positions:
F 0.000 0.000 0.000
B 0.000 0.500 0.000
Zr 0.000 0.000 0.500
Zr 0.500 0.000 0.000
Bi 0.500 0.500 0.500

Properties
E_tot, eV per atom: -5.873
SG: P4/mmm

[14]
FeBiB2 after structural relaxation. Source: the Alexandria database, functional PBE.

Cell lengths 3.909, 3.909, 7.585 Å; angles 75.07, 75.07, 90.00 degrees
Fractional positions:
Bi 0.000 0.000 0.000
Bi 0.750 0.250 0.500
B 0.375 0.125 0.250
B 0.875 0.625 0.750
B 0.375 0.625 0.250
B 0.375 0.625 0.750
Fe 0.250 0.750 0.500
Fe 0.500 0.500 0.000

Properties
E_form, eV/atom: 0.62
SG: I4_1/amd

[15]
FeBi2B after structural relaxation. Source: the Alexandria database, functional PBE.

Cell lengths 6.072, 6.072, 6.885 Å; angles 63.84, 63.84, 90.00 degrees
Fractional positions:
Bi 0.875 0.838 0.750
Bi 0.588 0.125 0.250
Bi 0.162 0.625 0.250
Bi 0.375 0.412 0.750
Fe 0.750 0.250 0.500
Fe 0.000 0.000 0.000
B 0.500 0.500 0.000
B 0.250 0.750 0.500

Properties
E_form, eV/atom: 0.92
SG: I-42d

[16]
FeBi3B after structural relaxation. Source: the Alexandria database, functional PBE.

Cell lengths 5.080, 5.080, 5.080 Å; angles 90.00, 90.00, 90.00 degrees
Fractional positions:
B 0.500 0.500 0.500
Fe 0.000 0.000 0.000
Bi 0.000 0.000 0.500
Bi 0.500 0.000 0.000
Bi 0.000 0.500 0.000

Properties
E_form, eV/atom: 1.26
SG: Pm-3m

[17]
FeBi3B after structural relaxation. Source: the Alexandria database, functional PBE.

Cell lengths 5.001, 5.001, 5.001 Å; angles 90.00, 90.00, 90.00 degrees
Fractional positions:
Bi 0.000 0.000 0.500
Bi 0.500 0.000 0.000
Bi 0.000 0.500 0.000
B 0.000 0.000 0.000
Fe 0.500 0.500 0.500

Properties
E_form, eV/atom: 1.16
SG: Pm-3m

[18]
Hf2FeBiB after structural relaxation. Source: the Alexandria database, functional PBE.

Cell lengths 5.371, 4.685, 5.371 Å; angles 90.00, 90.00, 90.00 degrees
Fractional positions:
Hf 0.000 0.000 0.500
Hf 0.500 0.000 0.000
Bi 0.000 0.000 0.000
B 0.500 0.500 0.500
Fe 0.000 0.500 0.000

Properties
E_form, eV/atom: 2.22
SG: P4/mmm

[19]
TlFeBi2B after structural relaxation. Source: the Alexandria database, functional PBE.

Cell lengths 5.292, 4.411, 5.292 Å; angles 90.00, 90.00, 90.00 degrees
Fractional positions:
Bi 0.500 0.000 0.000
Bi 0.000 0.000 0.500
Tl 0.000 0.500 0.000
B 0.000 0.000 0.000
Fe 0.500 0.500 0.500

Properties
E_form, eV/atom: 1.12
SG: P4/mmm

[20]
Ga3BiB after structural relaxation. Source: the Alexandria database, functional PBE.

Cell lengths 5.652, 5.652, 5.652 Å; angles 90.00, 90.00, 90.00 degrees
Fractional positions:
Bi 0.000 0.000 0.000
Ga 0.000 0.500 0.000
Ga 0.500 0.000 0.000
Ga 0.000 0.000 0.500
B 0.500 0.500 0.500

Properties
E_form, eV/atom: 1.60
SG: Pm-3m

[21]
GaBiB3 after structural relaxation. Source: the Alexandria database, functional PBE.

Cell lengths 4.764, 4.764, 4.764 Å; angles 90.00, 90.00, 90.00 degrees
Fractional positions:
B 0.000 0.000 0.500
B 0.000 0.500 0.000
B 0.500 0.000 0.000
Ga 0.500 0.500 0.500
Bi 0.000 0.000 0.000

Properties
E_form, eV/atom: 2.42
SG: Pm-3m

[22]
GaBiB2 after structural relaxation. Source: the Alexandria database, functional PBE.

Cell lengths 4.500, 4.500, 4.500 Å; angles 60.00, 60.00, 60.00 degrees
Fractional positions:
B 0.750 0.750 0.750
B 0.250 0.250 0.250
Ga 0.000 0.000 0.000
Bi 0.500 0.500 0.500

Properties
E_form, eV/atom: 1.49
SG: Fm-3m

[23]
GaBi2B after structural relaxation. Source: the Alexandria database, functional PBE.

Cell lengths 5.047, 5.047, 5.047 Å; angles 60.00, 60.00, 60.00 degrees
Fractional positions:
Ga 0.500 0.500 0.500
Bi 0.750 0.750 0.750
Bi 0.250 0.250 0.250
B 0.000 0.000 0.000

Properties
E_form, eV/atom: 0.93
SG: Fm-3m

[24]
GaBiB3 after structural relaxation. Source: the Alexandria database, functional PBE.

Cell lengths 4.275, 4.275, 4.275 Å; angles 90.00, 90.00, 90.00 degrees
Fractional positions:
B 0.000 0.500 0.000
B 0.500 0.000 0.000
B 0.000 0.000 0.500
Bi 0.500 0.500 0.500
Ga 0.000 0.000 0.000

Properties
E_form, eV/atom: 1.72
SG: Pm-3m

[25]
GaBi2B after structural relaxation. Source: the Alexandria database, functional PBE.

Cell lengths 6.049, 6.049, 7.263 Å; angles 65.39, 65.39, 90.00 degrees
Fractional positions:
Bi 0.875 0.827 0.750
Bi 0.173 0.625 0.250
Bi 0.375 0.423 0.750
Bi 0.577 0.125 0.250
B 0.250 0.750 0.500
B 0.500 0.500 0.000
Ga 0.000 0.000 0.000
Ga 0.750 0.250 0.500

Properties
E_form, eV/atom: 0.47
SG: I-42d

[26]
Ga3BiB after structural relaxation. Source: the Alexandria database, functional PBE.

Cell lengths 4.556, 4.556, 4.556 Å; angles 90.00, 90.00, 90.00 degrees
Fractional positions:
Ga 0.500 0.000 0.000
Ga 0.000 0.000 0.500
Ga 0.000 0.500 0.000
Bi 0.500 0.500 0.500
B 0.000 0.000 0.000

Properties
E_form, eV/atom: 0.35
SG: Pm-3m

[27]
GaBiB2 after structural relaxation. Source: the Alexandria database, functional PBE.

Cell lengths 5.141, 5.141, 6.517 Å; angles 66.77, 66.77, 90.00 degrees
Fractional positions:
Bi 0.000 0.000 0.000
Bi 0.750 0.250 0.500
Ga 0.500 0.500 0.000
Ga 0.250 0.750 0.500
B 0.585 0.125 0.250
B 0.875 0.835 0.750
B 0.375 0.415 0.750
B 0.165 0.625 0.250

Properties
E_form, eV/atom: 0.89
SG: I-42d

[28]
LaGa2BiB after structural relaxation. Source: the Alexandria database, functional PBE.

Cell lengths 4.582, 5.338, 4.582 Å; angles 90.00, 90.00, 90.00 degrees
Fractional positions:
Ga 0.500 0.000 0.000
Ga 0.000 0.000 0.500
La 0.000 0.500 0.000
B 0.000 0.000 0.000
Bi 0.500 0.500 0.500

Properties
E_form, eV/atom: -0.07
SG: P4/mmm

Number 1: total magnetic moment 0.00 μB per formula unit. Number 2: total magnetic moment 0.00 μB per formula unit. Number 3: total magnetic moment 0.19 μB per formula unit. Number 4: total magnetic moment 0.00 μB per formula unit. Number 5: total magnetic moment 1.47 μB per formula unit. Number 6: total magnetic moment 0.00 μB per formula unit. Number 7: total magnetic moment 0.00 μB per formula unit. Number 8: total magnetic moment 1.52 μB per formula unit. Number 9: total magnetic moment 1.87 μB per formula unit. Number 10: total magnetic moment 0.00 μB per formula unit. Number 11: total magnetic moment 0.00 μB per formula unit. Number 12: total magnetic moment 0.00 μB per formula unit. Number 13: total magnetic moment 0.00 μB per formula unit. Number 14: total magnetic moment 0.97 μB per formula unit. Number 15: total magnetic moment 2.98 μB per formula unit. Number 16: total magnetic moment 1.20 μB per formula unit. Number 17: total magnetic moment 2.79 μB per formula unit. Number 18: total magnetic moment 1.99 μB per formula unit. Number 19: total magnetic moment 3.20 μB per formula unit. Number 20: total magnetic moment 0.00 μB per formula unit. Number 21: total magnetic moment 0.00 μB per formula unit. Number 22: total magnetic moment 0.00 μB per formula unit. Number 23: total magnetic moment 0.00 μB per formula unit. Number 24: total magnetic moment 0.00 μB per formula unit. Number 25: total magnetic moment 0.00 μB per formula unit. Number 26: total magnetic moment 0.00 μB per formula unit. Number 27: total magnetic moment 0.00 μB per formula unit. Number 28: total magnetic moment 0.00 μB per formula unit.